This record from OQMD via LeMat-Bulk describes NaNb3Sn5 after structural relaxation. The functional is PBE.

Electronic total energy   -52.2 eV per cell
Space-group type   P6/mmm (191)
Spin magnetization   0.001 μB per atom
Density   6.60 Mg/m³

a = 5.880 Å, b = 5.880 Å, c = 7.526 Å
α = 90.00°, β = 90.00°, γ = 120.00°
Atoms (fractional coordinates):
Nb (0.000, 0.500, 0.500)
Nb (0.500, 0.500, 0.500)
Nb (0.500, 0.000, 0.500)
Sn (0.000, 0.000, 0.500)
Sn (0.667, 0.333, 0.189)
Sn (0.667, 0.333, 0.811)
Sn (0.333, 0.667, 0.189)
Sn (0.333, 0.667, 0.811)
Na (0.000, 0.000, 0.000)